# 1
Material: LuSnIr
Method: DFT, PBE
State: relaxed

```
LuSnIr
1.0
4.654 0.000 0.000
-2.327 4.031 0.000
0.000 0.000 6.539
Lu Sn Ir
2 2 2
Direct
0.000 0.000 0.000 Lu
0.000 0.000 0.500 Lu
0.333 0.667 0.238 Sn
0.667 0.333 0.738 Sn
0.333 0.667 0.788 Ir
0.667 0.333 0.288 Ir
```

space group = No. 186

***

# 2
Material: NaTbY
Method: DFT, PBE
State: relaxed

```
NaTbY
1.0
0.000 3.759 3.759
3.759 0.000 3.759
3.759 3.759 0.000
Na Tb Y
1 1 1
Direct
0.000 0.000 0.000 Na
0.750 0.750 0.750 Tb
0.250 0.250 0.250 Y
```

space group = No. 216
ΔE to the lowest computed polymorph = 0.000 eV per atom

***

# 3
Material: GdY2Al3NiAg2
Method: DFT, PBE
State: relaxed

```
GdY2Al3NiAg2
1.0
4.144 0.000 0.000
0.000 6.233 3.605
0.000 -6.233 3.605
Gd Y Al Ni Ag
1 2 3 1 2
Direct
0.000 0.000 0.000 Gd
0.000 0.398 0.796 Y
0.000 0.796 0.398 Y
0.500 0.176 0.399 Al
0.500 0.399 0.176 Al
0.500 0.620 0.620 Al
0.000 0.399 0.399 Ni
0.500 0.065 0.731 Ag
0.500 0.731 0.065 Ag
```

space group = No. 38

***

# 4
Material: ZrCdFeGe
Method: DFT, PBE
State: relaxed

```
ZrCdFeGe
1.0
0.000 3.281 3.281
3.281 0.000 3.281
3.281 3.281 0.000
Zr Cd Fe Ge
1 1 1 1
Direct
0.000 0.000 0.000 Zr
0.750 0.750 0.750 Cd
0.500 0.500 0.500 Fe
0.250 0.250 0.250 Ge
```

space group = No. 216
ΔE to the lowest computed polymorph = 0.000 eV per atom

***

# 5
Material: DyErAl2
Method: DFT, PBE
State: relaxed

```
DyErAl2
1.0
5.025 0.000 0.000
0.000 3.321 5.624
0.000 -3.321 5.624
Dy Er Al
2 2 4
Direct
0.000 0.000 0.000 Dy
0.500 0.328 0.328 Dy
0.500 0.353 0.818 Er
0.500 0.818 0.353 Er
0.000 0.505 0.505 Al
0.000 0.533 0.957 Al
0.000 0.957 0.533 Al
0.500 0.830 0.830 Al
```

space group = No. 38

***

# 6
Material: DyZrRe
Method: DFT, PBE
State: relaxed

```
DyZrRe
1.0
0.000 3.280 3.280
3.280 0.000 3.280
3.280 3.280 0.000
Dy Zr Re
1 1 1
Direct
0.000 0.000 0.000 Dy
0.250 0.250 0.250 Zr
0.500 0.500 0.500 Re
```

DFT formation energy = 0.819 eV per atom
space group = No. 216
ΔE to the lowest computed polymorph = 0.000 eV per atom

***

# 7
Material: Tm3Mg3Al2Pd
Method: DFT, PBE
State: relaxed

```
Tm3Mg3Al2Pd
1.0
7.302 0.000 0.000
-3.651 6.324 0.000
0.000 0.000 4.361
Tm Mg Al Pd
3 3 2 1
Direct
0.000 0.588 0.000 Tm
0.412 0.412 0.000 Tm
0.588 0.000 0.000 Tm
0.000 0.239 0.500 Mg
0.239 0.000 0.500 Mg
0.761 0.761 0.500 Mg
0.333 0.667 0.500 Al
0.667 0.333 0.500 Al
0.000 0.000 0.000 Pd
```

space group = No. 189

***

# 8
Material: Li2YCdIn2Cu2
Method: DFT, PBE
State: relaxed

```
Li2YCdIn2Cu2
1.0
4.641 0.000 0.000
0.000 4.641 0.000
0.000 0.000 6.719
Li Y Cd In Cu
2 1 1 2 2
Direct
0.000 0.500 0.219 Li
0.500 0.000 0.781 Li
0.000 0.000 0.500 Y
0.500 0.500 0.000 Cd
0.000 0.000 0.000 In
0.500 0.500 0.500 In
0.000 0.500 0.757 Cu
0.500 0.000 0.243 Cu
```

space group = No. 115

***

# 9
Material: Al2ZnNi
Method: DFT, PBE
State: relaxed

```
Al2ZnNi
1.0
0.000 3.027 3.027
3.027 0.000 3.027
3.027 3.027 0.000
Al Zn Ni
2 1 1
Direct
0.000 0.000 0.000 Al
0.250 0.250 0.250 Al
0.500 0.500 0.500 Zn
0.750 0.750 0.750 Ni
```

space group = No. 216

***

# 10
Material: SmTcHg
Method: DFT, PBE
State: relaxed

```
SmTcHg
1.0
0.000 3.433 3.433
3.433 0.000 3.433
3.433 3.433 0.000
Sm Tc Hg
1 1 1
Direct
0.000 0.000 0.000 Sm
0.250 0.250 0.250 Tc
0.750 0.750 0.750 Hg
```

DFT formation energy = 0.974 eV per atom
space group = No. 216
ΔE to the lowest computed polymorph = 0.349 eV per atom

***

# 11
Material: SrHgTeO
Method: DFT, PBE
State: relaxed

```
SrHgTeO
1.0
2.172 -7.578 0.000
2.172 7.578 0.000
0.000 0.000 6.662
Sr Hg Te O
2 2 2 2
Direct
0.142 0.858 0.500 Sr
0.858 0.142 0.000 Sr
0.440 0.560 0.401 Hg
0.560 0.440 0.901 Hg
0.171 0.829 0.003 Te
0.829 0.171 0.503 Te
0.426 0.574 0.038 O
0.574 0.426 0.538 O
```

space group = No. 36
ΔE to the lowest computed polymorph = 0.069 eV per atom

***

# 12
Material: La7Ni3
Method: DFT, PBE
State: relaxed

```
La7Ni3
1.0
10.070 0.000 0.000
-5.035 8.721 0.000
0.000 0.000 6.464
La Ni
14 6
Direct
0.076 0.538 0.000 La
0.126 0.252 0.680 La
0.126 0.874 0.680 La
0.252 0.126 0.180 La
0.333 0.667 0.464 La
0.462 0.538 0.000 La
0.462 0.924 0.000 La
0.538 0.076 0.500 La
0.538 0.462 0.500 La
0.667 0.333 0.964 La
0.748 0.874 0.680 La
0.874 0.126 0.180 La
0.874 0.748 0.180 La
0.924 0.462 0.500 La
0.187 0.374 0.234 Ni
0.187 0.813 0.234 Ni
0.374 0.187 0.734 Ni
0.626 0.813 0.234 Ni
0.813 0.187 0.734 Ni
0.813 0.626 0.734 Ni
```

DFT formation energy = -0.242 eV per atom
space group = No. 186

***

# 13
Material: PrHoIn2Ir4
Method: DFT, PBE
State: relaxed

```
PrHoIn2Ir4
1.0
4.584 0.000 0.000
-2.292 3.970 0.000
0.000 0.000 9.038
Pr Ho In Ir
1 1 2 4
Direct
0.000 0.000 0.000 Pr
0.333 0.667 0.500 Ho
0.667 0.333 0.255 In
0.667 0.333 0.745 In
0.000 0.000 0.357 Ir
0.000 0.000 0.643 Ir
0.333 0.667 0.171 Ir
0.333 0.667 0.829 Ir
```

space group = No. 187

***

# 14
Material: LiTbFeSe3
Method: DFT, PBE
State: relaxed

```
LiTbFeSe3
1.0
7.885 0.000 0.000
0.000 3.950 0.000
-1.929 0.000 9.352
Li Tb Fe Se
2 2 2 6
Direct
0.170 0.250 0.141 Li
0.830 0.750 0.859 Li
0.336 0.750 0.842 Tb
0.664 0.250 0.158 Tb
0.069 0.250 0.584 Fe
0.931 0.750 0.416 Fe
0.070 0.250 0.842 Se
0.238 0.750 0.530 Se
0.405 0.750 0.152 Se
0.595 0.250 0.848 Se
0.762 0.250 0.470 Se
0.930 0.750 0.158 Se
```

space group = No. 11
ΔE to the lowest computed polymorph = 0.000 eV per atom

***

# 15
Material: TlNiPtAu
Method: DFT, PBE
State: relaxed

```
TlNiPtAu
1.0
0.000 3.232 3.232
3.232 0.000 3.232
3.232 3.232 0.000
Tl Ni Pt Au
1 1 1 1
Direct
0.000 0.000 0.000 Tl
0.250 0.250 0.250 Ni
0.750 0.750 0.750 Pt
0.500 0.500 0.500 Au
```

space group = No. 216

***

# 16
Material: ZrTe4Br4Cl2
Method: DFT, PBE
State: relaxed

```
ZrTe4Br4Cl2
1.0
7.987 0.000 0.000
3.970 7.134 0.000
3.153 2.759 7.580
Zr Te Br Cl
1 4 4 2
Direct
0.000 0.000 0.000 Zr
0.311 0.420 0.701 Te
0.374 0.765 0.510 Te
0.626 0.235 0.490 Te
0.689 0.580 0.299 Te
0.033 0.158 0.196 Br
0.369 0.950 0.836 Br
0.631 0.050 0.164 Br
0.967 0.842 0.804 Br
0.119 0.666 0.215 Cl
0.881 0.334 0.785 Cl
```

space group = No. 2

***

# 17
Material: KLu4BrO6
Method: DFT, PBE
State: relaxed

```
KLu4BrO6
1.0
6.531 0.000 0.000
-3.266 5.656 0.000
0.000 0.000 8.516
K Lu Br O
1 4 1 6
Direct
0.000 0.000 0.000 K
0.333 0.667 0.257 Lu
0.333 0.667 0.743 Lu
0.667 0.333 0.257 Lu
0.667 0.333 0.743 Lu
0.000 0.000 0.500 Br
0.000 0.500 0.186 O
0.000 0.500 0.814 O
0.500 0.000 0.186 O
0.500 0.000 0.814 O
0.500 0.500 0.186 O
0.500 0.500 0.814 O
```

space group = No. 191

***

# 18
Material: GaMoI7
Method: DFT, PBE
State: relaxed

```
GaMoI7
1.0
7.831 0.000 0.000
0.000 6.788 0.000
-2.774 0.000 16.980
Ga Mo I
2 2 14
Direct
0.000 0.015 0.000 Ga
0.000 0.985 0.500 Ga
0.751 0.420 0.865 Mo
0.751 0.580 0.365 Mo
0.060 0.177 0.868 I
0.060 0.823 0.368 I
0.218 0.123 0.117 I
0.218 0.877 0.617 I
0.490 0.352 0.390 I
0.490 0.648 0.890 I
0.571 0.172 0.766 I
0.571 0.828 0.266 I
0.694 0.177 0.998 I
0.694 0.823 0.498 I
0.868 0.351 0.261 I
0.868 0.649 0.761 I
0.989 0.368 0.497 I
0.989 0.632 0.997 I
```

space group = No. 7

***

# 19
Material: MgGaReMo
Method: DFT, PBE
State: relaxed

```
MgGaReMo
1.0
0.000 3.139 3.139
3.139 0.000 3.139
3.139 3.139 0.000
Mg Ga Re Mo
1 1 1 1
Direct
0.000 0.000 0.000 Mg
0.500 0.500 0.500 Ga
0.250 0.250 0.250 Re
0.750 0.750 0.750 Mo
```

space group = No. 216
ΔE to the lowest computed polymorph = 0.500 eV per atom

***

# 20
Material: TaNb2Sb
Method: DFT, PBE
State: relaxed

```
TaNb2Sb
1.0
5.298 0.000 0.000
0.000 5.298 0.000
0.000 0.000 5.314
Ta Nb Sb
2 4 2
Direct
0.000 0.000 0.250 Ta
0.000 0.000 0.750 Ta
0.249 0.500 0.000 Nb
0.500 0.249 0.500 Nb
0.500 0.751 0.500 Nb
0.751 0.500 0.000 Nb
0.000 0.500 0.500 Sb
0.500 0.000 0.000 Sb
```

space group = No. 131

***

In Å³ per cell, the V values for the records above are, in order, 122.7 106.2 186.2 70.6 187.7 70.6 201.4 144.7 55.5 80.9 219.3 567.6 164.4 291.3 67.5 431.9 314.6 902.7 61.9 149.1.
In eV/atom, the E values for the records above are, in order, -6.544 -3.322 -4.944 -5.510 -4.367 -7.705 -3.842 -3.236 -3.644 -4.149 -3.744 -5.358 -6.648 -5.358 -4.205 -3.653 -6.655 -3.002 -6.435 -9.264.